# GGA-PBE LaCoSb2Pd, optimized geometry
# Mass density in g/cm³: 8.53
# Total energy in hartree per atom: -0.215
# Spin magnetization in μB per formula unit: 0.00
# V in Å³ per atom: 21.32
data_LaCoSb2Pd
_cell_length_a 4.573
_cell_length_b 4.573
_cell_length_c 10.192
_cell_angle_alpha 90.00
_cell_angle_beta 90.00
_cell_angle_gamma 90.00
_symmetry_space_group_name_H-M 'P 4/n m m'
_symmetry_Int_Tables_number 129
loop_
_symmetry_equiv_pos_as_xyz
'x,y,z'
'-x,-y,-z'
'-y+1/2,x,z'
'y+1/2,-x,-z'
'-x+1/2,-y+1/2,z'
'x+1/2,y+1/2,-z'
'y,-x+1/2,z'
'-y,x+1/2,-z'
'x+1/2,-y,-z'
'-x+1/2,y,z'
'-y,-x,-z'
'y,x,z'
'-x,y+1/2,-z'
'x,-y+1/2,z'
'y+1/2,x+1/2,-z'
'-y+1/2,-x+1/2,z'
loop_
_atom_site_label
_atom_site_type_symbol
_atom_site_fract_x
_atom_site_fract_y
_atom_site_fract_z
La1 La 0.250 0.250 0.249
Co1 Co 0.250 0.250 0.890
Sb1 Sb 0.250 0.250 0.646
Sb2 Sb 0.250 0.750 0.000
Pd1 Pd 0.250 0.750 0.500

=====

# GGA-PBE MgScCoAs, optimized geometry
# Mass density in g/cm³: 5.33
# Total energy in hartree per atom: -0.186
# Spin magnetization in μB per formula unit: 0.11
# ΔE to the lowest computed polymorph in eV/atom: 0.141
# V in Å³ per atom: 15.82
data_MgScCoAs
_cell_length_a 6.326
_cell_length_b 6.326
_cell_length_c 6.326
_cell_angle_alpha 90.00
_cell_angle_beta 90.00
_cell_angle_gamma 90.00
_symmetry_space_group_name_H-M 'F -4 3 m'
_symmetry_Int_Tables_number 216
_symmetry_space_group_name_Hall 'F -4 2 3'
loop_
_atom_site_label
_atom_site_type_symbol
_atom_site_fract_x
_atom_site_fract_y
_atom_site_fract_z
Mg1 Mg 0.000 0.000 0.000
Sc1 Sc 0.250 0.250 0.250
Co1 Co 0.000 0.000 0.500
As1 As 0.250 0.250 0.750

=====

# GGA-PBE PrNd2Er3Te2Pt, optimized geometry
# Mass density in g/cm³: 9.06
# Total energy in hartree per atom: -0.200
# Spin magnetization in μB per formula unit: 0.03
# V in Å³ per atom: 28.13
data_PrNd2Er3Te2Pt
_cell_length_a 4.074
_cell_length_b 14.681
_cell_length_c 8.464
_cell_angle_alpha 90.00
_cell_angle_beta 90.00
_cell_angle_gamma 90.00
_symmetry_space_group_name_H-M 'A m m 2'
_symmetry_Int_Tables_number 38
loop_
_symmetry_equiv_pos_as_xyz
'x,y,z'
'-x,-y,z'
'-x,y,z'
'x,-y,z'
'x,y+1/2,z+1/2'
'-x,-y+1/2,z+1/2'
'-x,y+1/2,z+1/2'
'x,-y+1/2,z+1/2'
loop_
_atom_site_label
_atom_site_type_symbol
_atom_site_fract_x
_atom_site_fract_y
_atom_site_fract_z
Pr1 Pr 0.000 0.000 0.000
Nd1 Nd 0.000 0.202 0.607
Er1 Er 0.500 0.000 0.644
Er2 Er 0.500 0.119 0.286
Te1 Te 0.500 0.167 0.905
Pt1 Pt 0.000 0.000 0.406

=====

# GGA-PBE HfCoSb, optimized geometry
# Mass density in g/cm³: 11.35
# Total energy in hartree per atom: -0.276
# Spin magnetization in μB per formula unit: 0.00
# V in Å³ per atom: 17.52
data_HfCoSb
_cell_length_a 6.8520
_cell_length_b 6.8520
_cell_length_c 3.8772
_cell_angle_alpha 90.00
_cell_angle_beta 90.00
_cell_angle_gamma 120.00
_symmetry_space_group_name_H-M 'P -6 2 m'
_symmetry_Int_Tables_number 189
_symmetry_space_group_name_Hall 'P -6 -2'
loop_
_atom_site_label
_atom_site_type_symbol
_atom_site_fract_x
_atom_site_fract_y
_atom_site_fract_z
Hf1 Hf 0.0000 0.6065 0.0000
Co1 Co 0.0000 0.0000 0.0000
Co2 Co 0.3333 0.6667 0.5000
Sb1 Sb 0.0000 0.2748 0.5000

=====

# GGA-PBE BiPtNO, optimized geometry
# Mass density in g/cm³: 11.22
# Total energy in hartree per atom: -0.211
# Spin magnetization in μB per formula unit: 0.00
# ΔE to the lowest computed polymorph in eV/atom: 0.171
# V in Å³ per atom: 16.05
data_BiPtNO
_cell_length_a 4.181
_cell_length_b 4.181
_cell_length_c 7.349
_cell_angle_alpha 90.00
_cell_angle_beta 90.00
_cell_angle_gamma 90.00
_symmetry_space_group_name_H-M 'P 4/n m m'
_symmetry_Int_Tables_number 129
loop_
_symmetry_equiv_pos_as_xyz
'x,y,z'
'-x,-y,-z'
'-y+1/2,x,z'
'y+1/2,-x,-z'
'-x+1/2,-y+1/2,z'
'x+1/2,y+1/2,-z'
'y,-x+1/2,z'
'-y,x+1/2,-z'
'x+1/2,-y,-z'
'-x+1/2,y,z'
'-y,-x,-z'
'y,x,z'
'-x,y+1/2,-z'
'x,-y+1/2,z'
'y+1/2,x+1/2,-z'
'-y+1/2,-x+1/2,z'
loop_
_atom_site_label
_atom_site_type_symbol
_atom_site_fract_x
_atom_site_fract_y
_atom_site_fract_z
Bi1 Bi 0.250 0.250 0.157
Pt1 Pt 0.250 0.750 0.500
N1 N 0.250 0.250 0.531
O1 O 0.250 0.750 0.000

=====

# GGA-PBE LuAsPb2, optimized geometry
# Mass density in g/cm³: 10.42
# Total energy in hartree per atom: -0.157
# Spin magnetization in μB per formula unit: 0.00
# V in Å³ per atom: 26.46
data_LuAsPb2
_cell_length_a 7.508
_cell_length_b 7.508
_cell_length_c 7.508
_cell_angle_alpha 90.00
_cell_angle_beta 90.00
_cell_angle_gamma 90.00
_symmetry_space_group_name_H-M 'F -4 3 m'
_symmetry_Int_Tables_number 216
_symmetry_space_group_name_Hall 'F -4 2 3'
loop_
_atom_site_label
_atom_site_type_symbol
_atom_site_fract_x
_atom_site_fract_y
_atom_site_fract_z
Lu1 Lu 0.000 0.000 0.000
As1 As 0.250 0.250 0.750
Pb1 Pb 0.000 0.000 0.500
Pb2 Pb 0.250 0.250 0.250

=====

What is the formula in the fourth record? HfCoSb